a) The following is a DFT calculation (PBE) of crystalline Ac4TbY at its relaxed geometry.

Lattice parameters (Å, degrees): 3.728 5.921 11.125 90.00 90.00 90.00
Space group Pmmm (No. 47)
Symmetry-distinct sites (fractional):
Ac  0.000  0.000  0.159 (multiplicity 2)
Ac  0.000  0.500  0.341 (multiplicity 2)
Tb  0.500  0.000  0.500 (multiplicity 1)
Y  0.500  0.500  0.000 (multiplicity 1)

Results
**N(E_F)**: 12.1 states/eV/cell
**V**: 40.927 A^3/atom


b) The following is a DFT calculation (PBE) of crystalline Ac4TbY at its relaxed geometry.

Lattice parameters (Å, degrees): 10.097 10.097 10.097 90.00 90.00 90.00
Space group F-43m (No. 216)
Symmetry-distinct sites (fractional):
Ac  0.125  0.125  0.125 (multiplicity 16)
Tb  0.250  0.250  0.750 (multiplicity 4)
Y  0.000  0.000  0.500 (multiplicity 4)

Results
**N(E_F)**: 43.6 states/eV/cell
**V**: 42.897 A^3/atom


How far above the most stable structure does each one sit? In meV/atom: a) 0; b) 211.


a) The following is a DFT calculation (PBE) of crystalline Ac2Tb4Y5 at its relaxed geometry.

Lattice parameters (Å, degrees): 24.528 3.525 8.910 90.00 95.95 90.00
Space group C2/m (No. 12)
Symmetry-distinct sites (fractional):
Ac  0.090  0.000  0.243 (multiplicity 4)
Tb  0.049  0.000  0.858 (multiplicity 4)
Tb  0.180  0.500  0.974 (multiplicity 4)
Y  0.000  0.500  0.500 (multiplicity 2)
Y  0.143  0.000  0.628 (multiplicity 4)
Y  0.234  0.000  0.327 (multiplicity 4)

Results
**N(E_F)**: 47.1 states/eV/cell
**V**: 34.827 A^3/atom


b) The following is a DFT calculation (PBE) of crystalline Ac2Tb4Y5 at its relaxed geometry.

Lattice parameters (Å, degrees): 16.711 6.802 6.895 90.00 99.58 90.00
Space group C2/m (No. 12)
Symmetry-distinct sites (fractional):
Ac  0.202  0.000  0.304 (multiplicity 4)
Tb  0.084  0.500  0.397 (multiplicity 4)
Tb  0.246  0.000  0.815 (multiplicity 4)
Y  0.000  0.000  0.500 (multiplicity 2)
Y  0.088  0.262  0.901 (multiplicity 8)

Results
**N(E_F)**: 33.0 states/eV/cell
**V**: 35.126 A^3/atom


How far above the most stable structure does each one sit? In meV/atom: a) 17; b) 0.


a) The following is a DFT calculation (PBE) of crystalline AcTb3Y3 at its relaxed geometry.

Lattice parameters (Å, degrees): 9.7338 9.7338 5.8038 90.00 90.00 120.00
Space group P6_3/m (No. 176)
Symmetry-distinct sites (fractional):
Ac  0.3333  0.6667  0.2500 (multiplicity 2)
Tb  0.0954  0.4750  0.7500 (multiplicity 6)
Y  0.0451  0.2332  0.2500 (multiplicity 6)

Results
**N(E_F)**: 26.4 states/eV/cell
**V**: 34.016 A^3/atom


b) The following is a DFT calculation (PBE) of crystalline AcTb3Y3 at its relaxed geometry.

Lattice parameters (Å, degrees): 13.666 22.343 6.783 90.00 109.33 90.00
Space group Cm (No. 8)
Symmetry-distinct sites (fractional):
Ac  0.000  0.000  0.000 (multiplicity 2)
Ac  0.186  0.000  0.580 (multiplicity 2)
Ac  0.407  0.407  0.393 (multiplicity 4)
Tb  0.107  0.366  0.454 (multiplicity 4)
Tb  0.265  0.265  0.191 (multiplicity 4)
Tb  0.288  0.000  0.132 (multiplicity 2)
Tb  0.356  0.356  0.844 (multiplicity 4)
Tb  0.398  0.129  0.981 (multiplicity 4)
Tb  0.471  0.000  0.662 (multiplicity 2)
Tb  0.495  0.236  0.712 (multiplicity 4)
Y  0.023  0.227  0.223 (multiplicity 4)
Y  0.047  0.500  0.215 (multiplicity 2)
Y  0.130  0.130  0.947 (multiplicity 4)
Y  0.147  0.398  0.973 (multiplicity 4)
Y  0.226  0.227  0.669 (multiplicity 4)
Y  0.241  0.500  0.688 (multiplicity 2)
Y  0.329  0.125  0.427 (multiplicity 4)

Results
**N(E_F)**: 95.2 states/eV/cell
**V**: 34.900 A^3/atom


How far above the most stable structure does each one sit? In meV/atom: a) 0; b) 102.